[1]
Entry from Alexandria via LeMat-Bulk: a crystal of TlAg2Te relaxed with PBEsol (SCAN).

Structure (POSCAR):
```
TlAg2Te
1.0
-1.834 0.780 -2.337
-3.057 -1.936 1.753
-1.890 6.201 3.551
Tl Te Ag
1 1 2
direct
0.500 0.500 0.789 Tl
0.000 0.000 0.449 Te
0.000 0.000 0.039 Ag
0.500 0.500 0.222 Ag
```

## Properties
Raw formation energy   0.12 eV per atom
Energy relative to the lowest polymorph listed for this composition   0.0000 eV per atom
Volume   22.8 Å³ per atom
Spin magnetization   0.00 μB/atom

=====

[2]
Entry from Alexandria via LeMat-Bulk: a crystal of TmAgTe2 relaxed with PBEsol (SCAN).

Structure (POSCAR):
```
TmAgTe2
1.0
4.252 0.000 0.000
-2.126 3.682 0.000
0.000 0.000 6.824
Tm Te Ag
1 2 1
direct
0.000 0.000 0.000 Tm
0.333 0.667 0.258 Te
0.667 0.333 0.742 Te
0.000 0.000 0.500 Ag
```

## Properties
Raw formation energy   -0.94 eV per atom
Volume   26.7 Å³ per atom
Spin magnetization   0.00 μB/atom

=====

[3]
Entry from Alexandria via LeMat-Bulk: a crystal of TmAgTe2 relaxed with PBEsol (SCAN).

Structure (POSCAR):
```
TmAgTe2
1.0
-4.300 -0.188 0.851
2.257 -3.693 -0.719
1.404 -0.502 6.986
Tm Te Ag
1 2 1
direct
0.667 0.333 0.015 Tm
0.000 0.000 0.238 Te
0.333 0.667 0.770 Te
0.000 0.000 0.618 Ag
```

## Properties
Raw formation energy   -0.94 eV per atom
Volume   29.8 Å³ per atom
Spin magnetization   0.00 μB/atom